Record 1
Compound: Li5Ti2Cu3O10
Source: Alexandria via LeMat-Bulk
Functional: meta-GGA SCAN
Structure: single point on PBEsol structure

**Raw formation energy**: -201.6 kJ per mole of atoms
**Size of the total moment**: 0.00 μB/f.u.
**Final energy**: -193.70 eV/cell
**ρ**: 4.4 g cm⁻³

Unit cell a=5.0143 b=5.4744 c=7.5137 alpha=103.09 beta=103.22 gamma=105.97
Space group P-1 (No. 2)
Inequivalent atoms, fractional coordinates:
Li: 0.0000 0.0000 0.0000 [1 per cell]
Li: 0.0973 0.1863 0.7000 [2 per cell]
Li: 0.2886 0.6158 0.1170 [2 per cell]
Ti: 0.4031 0.8061 0.8071 [2 per cell]
Cu: 0.1996 0.3866 0.4000 [2 per cell]
Cu: 0.5000 0.0000 0.5000 [1 per cell]
O: 0.0379 0.6285 0.8376 [2 per cell]
O: 0.1459 0.8248 0.5647 [2 per cell]
O: 0.2802 0.9708 0.2545 [2 per cell]
O: 0.3718 0.1698 0.9523 [2 per cell]
O: 0.4398 0.4680 0.6595 [2 per cell]


Record 2
Compound: Mg3NbBr
Source: Alexandria via LeMat-Bulk
Functional: meta-GGA SCAN
Structure: single point on PBEsol structure

**Raw formation energy**: 70.1 kJ per mole of atoms
**Size of the total moment**: 3.10 μB/f.u.
**Final energy**: -63.88 eV/cell
**ρ**: 3.3 g cm⁻³

Unit cell a=4.9754 b=4.9754 c=4.9754 alpha=90.00 beta=90.00 gamma=90.00
Space group Pm-3m (No. 221)
Inequivalent atoms, fractional coordinates:
Mg: 0.0000 0.0000 0.5000 [3 per cell]
Nb: 0.5000 0.5000 0.5000 [1 per cell]
Br: 0.0000 0.0000 0.0000 [1 per cell]


Record 3
Compound: AsIrOs2
Source: Alexandria via LeMat-Bulk
Functional: meta-GGA SCAN
Structure: single point on PBEsol structure

**Size of the total moment**: 0.00 μB/f.u.
**Final energy**: -466.86 eV/cell
**E_form**: 0.405 eV per atom
**ρ**: 18.8 g cm⁻³

Unit cell a=2.8736 b=4.3779 c=9.0955 alpha=90.00 beta=90.00 gamma=90.00
Space group Immm (No. 71)
Inequivalent atoms, fractional coordinates:
As: 0.0000 0.0000 0.0000 [2 per cell]
Ir: 0.0000 0.0000 0.5000 [2 per cell]
Os: 0.0000 0.5000 0.2841 [4 per cell]


Record 4
Compound: YPt2
Source: Alexandria via LeMat-Bulk
Functional: meta-GGA SCAN
Structure: single point on PBEsol structure

**Size of the total moment**: 0.00 μB/f.u.
**Final energy**: -1377.34 eV/cell
**E_form**: -1.313 eV per atom
**ρ**: 14.6 g cm⁻³

Unit cell a=7.5859 b=7.5859 c=7.5859 alpha=90.00 beta=90.00 gamma=90.00
Space group Fd-3m (No. 227, origin choice 2)
Inequivalent atoms, fractional coordinates:
Y: 0.1250 0.1250 0.1250 [8 per cell]
Pt: 0.0000 0.0000 0.5000 [16 per cell]


Record 5
Compound: HgPW2
Source: Alexandria via LeMat-Bulk
Functional: meta-GGA SCAN
Structure: single point on PBEsol structure

**Size of the total moment**: 0.00 μB/f.u.
**Energy above the lowest structure with this stoichiometry**: 420 meV per atom
**Final energy**: -857.80 eV/cell
**E_form**: 0.872 eV per atom
**ρ**: 16.2 g cm⁻³

Unit cell a=6.2684 b=6.2684 c=6.2684 alpha=90.00 beta=90.00 gamma=90.00
Space group Fm-3m (No. 225)
Inequivalent atoms, fractional coordinates:
Hg: 0.0000 0.0000 0.0000 [4 per cell]
P: 0.0000 0.0000 0.5000 [4 per cell]
W: 0.2500 0.2500 0.2500 [8 per cell]


Record 6
Compound: KSbS2
Source: Alexandria via LeMat-Bulk
Functional: meta-GGA SCAN
Structure: single point on PBEsol structure

**Raw formation energy**: -55.3 kJ per mole of atoms
**Size of the total moment**: 0.00 μB/f.u.
**Final energy**: -268.55 eV/cell
**ρ**: 2.6 g cm⁻³

Unit cell a=6.7154 b=6.7154 c=12.5530 alpha=90.00 beta=90.00 gamma=90.00
Space group I-42d (No. 122)
Inequivalent atoms, fractional coordinates:
K: 0.0000 0.0000 0.0000 [4 per cell]
Sb: 0.0000 0.0000 0.5000 [4 per cell]
S: 0.1800 0.2500 0.6250 [8 per cell]


Record 7
Compound: Ca2ScBr
Source: Alexandria via LeMat-Bulk
Functional: meta-GGA SCAN
Structure: single point on PBEsol structure

**Raw formation energy**: -24.4 kJ per mole of atoms
**Size of the total moment**: 0.01 μB/f.u.
**Energy above the lowest structure with this stoichiometry**: 322 meV per atom
**Final energy**: -54.03 eV/cell
**ρ**: 2.8 g cm⁻³

Unit cell a=5.8379 b=5.8379 c=3.5583 alpha=90.00 beta=90.00 gamma=90.00
Space group P4/mmm (No. 123)
Inequivalent atoms, fractional coordinates:
Ca: 0.0000 0.5000 0.0000 [2 per cell]
Sc: 0.0000 0.0000 0.5000 [1 per cell]
Br: 0.5000 0.5000 0.5000 [1 per cell]


Record 8
Compound: AgTeRh2
Source: Alexandria via LeMat-Bulk
Functional: meta-GGA SCAN
Structure: single point on PBEsol structure

**Raw formation energy**: 3.4 kJ per mole of atoms
**Size of the total moment**: 0.00 μB/f.u.
**Final energy**: -136.02 eV/cell
**ρ**: 11.3 g cm⁻³

Unit cell a=3.2571 b=3.2682 c=6.0766 alpha=90.00 beta=90.00 gamma=90.00
Space group Pmmm (No. 47)
Inequivalent atoms, fractional coordinates:
Ag: 0.0000 0.0000 0.0000 [1 per cell]
Te: 0.0000 0.0000 0.5000 [1 per cell]
Rh: 0.5000 0.5000 0.2595 [2 per cell]


Record 9
Compound: SmVO4
Source: Alexandria via LeMat-Bulk
Functional: meta-GGA SCAN
Structure: single point on PBEsol structure

**Raw formation energy**: -318.2 kJ per mole of atoms
**Size of the total moment**: 0.00 μB/f.u.
**Final energy**: -426.58 eV/cell
**ρ**: 5.3 g cm⁻³

Unit cell a=7.2480 b=7.2480 c=6.3290 alpha=90.00 beta=90.00 gamma=90.00
Space group I4_1/amd (No. 141, origin choice 2)
Inequivalent atoms, fractional coordinates:
Sm: 0.0000 0.2500 0.3750 [4 per cell]
V: 0.0000 0.2500 0.8750 [4 per cell]
O: 0.0000 0.0682 0.7025 [16 per cell]


Record 10
Compound: Li2TiNb2
Source: Alexandria via LeMat-Bulk
Functional: meta-GGA SCAN
Structure: single point on PBEsol structure

**Size of the total moment**: 0.00 μB/f.u.
**Final energy**: -167.56 eV/cell
**E_form**: 0.658 eV per atom
**ρ**: 5.2 g cm⁻³

Unit cell a=3.8775 b=3.8775 c=10.5318 alpha=90.00 beta=90.00 gamma=90.00
Space group I4/mmm (No. 139)
Inequivalent atoms, fractional coordinates:
Li: 0.0000 0.0000 0.0846 [4 per cell]
Ti: 0.0000 0.0000 0.5000 [2 per cell]
Nb: 0.0000 0.5000 0.2500 [4 per cell]


Record 11
Compound: YCr2Pt
Source: Alexandria via LeMat-Bulk
Functional: meta-GGA SCAN
Structure: single point on PBEsol structure

**Size of the total moment**: 8.57 μB/f.u.
**Energy above the lowest structure with this stoichiometry**: 52 meV per atom
**Final energy**: -542.04 eV/cell
**E_form**: -0.177 eV per atom
**ρ**: 9.3 g cm⁻³

Unit cell a=6.5087 b=6.5087 c=6.5087 alpha=90.00 beta=90.00 gamma=90.00
Space group Fm-3m (No. 225)
Inequivalent atoms, fractional coordinates:
Y: 0.0000 0.0000 0.0000 [4 per cell]
Cr: 0.2500 0.2500 0.2500 [8 per cell]
Pt: 0.0000 0.0000 0.5000 [4 per cell]


Record 12
Compound: CoMo2I2
Source: Alexandria via LeMat-Bulk
Functional: meta-GGA SCAN
Structure: single point on PBEsol structure

**Raw formation energy**: 110.9 kJ per mole of atoms
**Size of the total moment**: 2.94 μB/f.u.
**Final energy**: -309.62 eV/cell
**ρ**: 7.9 g cm⁻³

Unit cell a=5.3708 b=5.3708 c=7.3387 alpha=90.00 beta=90.00 gamma=90.00
Space group I4/mmm (No. 139)
Inequivalent atoms, fractional coordinates:
Co: 0.0000 0.0000 0.0000 [2 per cell]
Mo: 0.0000 0.0000 0.3518 [4 per cell]
I: 0.0000 0.5000 0.2500 [4 per cell]


Record 13
Compound: TlCdGe2Pt
Source: Alexandria via LeMat-Bulk
Functional: meta-GGA SCAN
Structure: single point on PBEsol structure

**Size of the total moment**: 0.00 μB/f.u.
**Final energy**: -205.44 eV/cell
**E_form**: 1.140 eV per atom
**ρ**: 8.5 g cm⁻³

Unit cell a=4.9392 b=4.9392 c=5.2843 alpha=90.00 beta=90.00 gamma=90.00
Space group P4/mmm (No. 123)
Inequivalent atoms, fractional coordinates:
Tl: 0.0000 0.0000 0.0000 [1 per cell]
Cd: 0.0000 0.0000 0.5000 [1 per cell]
Ge: 0.0000 0.5000 0.5000 [2 per cell]
Pt: 0.5000 0.5000 0.0000 [1 per cell]


Record 14
Compound: BaHg2Os
Source: Alexandria via LeMat-Bulk
Functional: meta-GGA SCAN
Structure: single point on PBEsol structure

**Size of the total moment**: 0.72 μB/f.u.
**Energy above the lowest structure with this stoichiometry**: 150 meV per atom
**Final energy**: -489.06 eV/cell
**E_form**: 0.808 eV per atom
**ρ**: 13.1 g cm⁻³

Unit cell a=6.0569 b=10.1682 c=3.2436 alpha=90.00 beta=112.35 gamma=90.00
Space group C2/m (No. 12)
Inequivalent atoms, fractional coordinates:
Ba: 0.0000 0.0000 0.0000 [2 per cell]
Hg: 0.2500 0.2500 0.5000 [4 per cell]
Os: 0.0000 0.5000 0.0000 [2 per cell]


Record 15
Compound: Li2Bi2Pd
Source: Alexandria via LeMat-Bulk
Functional: meta-GGA SCAN
Structure: single point on PBEsol structure

**Size of the total moment**: 0.00 μB/f.u.
**Final energy**: -393.15 eV/cell
**E_form**: -0.373 eV per atom
**ρ**: 7.9 g cm⁻³

Unit cell a=7.1240 b=7.1240 c=4.4363 alpha=90.00 beta=90.00 gamma=90.00
Space group P4/mbm (No. 127)
Inequivalent atoms, fractional coordinates:
Li: 0.1550 0.3450 0.0000 [4 per cell]
Bi: 0.1513 0.6513 0.5000 [4 per cell]
Pd: 0.0000 0.0000 0.5000 [2 per cell]


Record 16
Compound: CsRb2ErCl6
Source: Alexandria via LeMat-Bulk
Functional: meta-GGA SCAN
Structure: single point on PBEsol structure

**Raw formation energy**: -220.1 kJ per mole of atoms
**Size of the total moment**: 0.00 μB/f.u.
**Final energy**: -801.22 eV/cell
**ρ**: 3.0 g cm⁻³

Unit cell a=11.5354 b=11.5354 c=11.5354 alpha=90.00 beta=90.00 gamma=90.00
Space group Fm-3m (No. 225)
Inequivalent atoms, fractional coordinates:
Cs: 0.0000 0.0000 0.0000 [4 per cell]
Rb: 0.2500 0.2500 0.2500 [8 per cell]
Er: 0.0000 0.0000 0.5000 [4 per cell]
Cl: 0.0000 0.0000 0.2766 [24 per cell]


Record 17
Compound: LiVFeP4O14
Source: Alexandria via LeMat-Bulk
Functional: meta-GGA SCAN
Structure: single point on PBEsol structure

**Raw formation energy**: -232.6 kJ per mole of atoms
**Size of the total moment**: 6.00 μB/f.u.
**Final energy**: -217.46 eV/cell
**ρ**: 3.0 g cm⁻³

Unit cell a=4.8313 b=6.9315 c=8.0014 alpha=89.90 beta=88.87 gamma=72.18
Space group P1 (No. 1)
Inequivalent atoms, fractional coordinates:
Li: 0.0000 0.0000 0.0000 [1 per cell]
V: 0.0503 0.9499 0.6284 [1 per cell]
Fe: 0.6242 0.4098 0.1408 [1 per cell]
P: 0.0768 0.5812 0.9083 [1 per cell]
P: 0.2390 0.1570 0.3142 [1 per cell]
P: 0.4443 0.1883 0.8128 [1 per cell]
P: 0.6304 0.7648 0.4148 [1 per cell]
O: 0.0113 0.1778 0.1811 [1 per cell]
O: 0.1057 0.1503 0.4905 [1 per cell]
O: 0.2208 0.0700 0.8110 [1 per cell]
O: 0.2605 0.6046 0.0551 [1 per cell]
O: 0.2736 0.4204 0.7750 [1 per cell]
O: 0.4064 0.3075 0.3088 [1 per cell]
O: 0.4303 0.7764 0.5683 [1 per cell]
O: 0.4645 0.9328 0.2828 [1 per cell]
O: 0.5848 0.1766 0.9827 [1 per cell]
O: 0.6662 0.1251 0.6696 [1 per cell]
O: 0.7173 0.5683 0.3196 [1 per cell]
O: 0.8193 0.5117 0.9570 [1 per cell]
O: 0.9046 0.8182 0.4657 [1 per cell]
O: 0.9860 0.7825 0.8112 [1 per cell]


Record 18
Compound: GaCo2C
Source: Alexandria via LeMat-Bulk
Functional: meta-GGA SCAN
Structure: single point on PBEsol structure

**Size of the total moment**: 0.00 μB/f.u.
**Final energy**: -239.45 eV/cell
**E_form**: 0.298 eV per atom
**ρ**: 7.9 g cm⁻³

Unit cell a=5.8592 b=5.8592 c=4.8759 alpha=90.00 beta=90.00 gamma=90.00
Space group I-42d (No. 122)
Inequivalent atoms, fractional coordinates:
Ga: 0.0000 0.0000 0.0000 [4 per cell]
Co: 0.1479 0.7500 0.6250 [8 per cell]
C: 0.0000 0.0000 0.5000 [4 per cell]


Record 19
Compound: SrSnPb3
Source: Alexandria via LeMat-Bulk
Functional: meta-GGA SCAN
Structure: single point on PBEsol structure

**Size of the total moment**: 0.00 μB/f.u.
**Final energy**: -284.94 eV/cell
**E_form**: 0.120 eV per atom
**ρ**: 7.2 g cm⁻³

Unit cell a=5.7469 b=5.7469 c=5.7469 alpha=90.00 beta=90.00 gamma=90.00
Space group Pm-3m (No. 221)
Inequivalent atoms, fractional coordinates:
Sr: 0.0000 0.0000 0.0000 [1 per cell]
Sn: 0.5000 0.5000 0.5000 [1 per cell]
Pb: 0.0000 0.5000 0.5000 [3 per cell]


Record 20
Compound: LiAg2As
Source: Alexandria via LeMat-Bulk
Functional: meta-GGA SCAN
Structure: single point on PBEsol structure

**Size of the total moment**: 0.00 μB/f.u.
**Final energy**: -86.00 eV/cell
**E_form**: -0.171 eV per atom
**ρ**: 7.4 g cm⁻³

Unit cell a=2.8821 b=4.2928 c=5.5437 alpha=90.00 beta=104.53 gamma=90.00
Space group Pm (No. 6)
Inequivalent atoms, fractional coordinates:
Li: 0.0000 0.0000 0.0000 [1 per cell]
Ag: 0.2587 0.0000 0.5216 [1 per cell]
Ag: 0.6498 0.5000 0.3014 [1 per cell]
As: 0.4107 0.5000 0.8095 [1 per cell]